No. 1
The following is a DFT calculation (GGA-PBE) of crystalline NdDyHo2 at its relaxed geometry.

Lattice parameters (Å, degrees): 3.5855 3.5855 11.7420 81.22 81.22 60.00
Closest atoms and distances in Å follow each position.
Fractional positions:
Ho  0.2514  0.2514  0.2458  3 Dy 3.51, 3 Nd 3.58, 6 Ho 3.59
Dy  0.6664  0.6664  0.0007  6 Ho 3.51, 6 Dy 3.59
Ho  0.0817  0.0817  0.7549  3 Dy 3.51, 6 Ho 3.59, 3 Nd 3.61
Nd  0.5005  0.5005  0.4986  6 Ho 3.58-3.61, 6 Nd 3.59

Output
magnetic moment = 0.00 Bohr magnetons per cell
space-group type = No. 160
energy above the lowest structure with this stoichiometry = 19 meV/atom
E_form = 0.0186 eV per atom
density of states at the Fermi level = 5.6 states/eV/cell


No. 2
The following is a DFT calculation (GGA-PBE) of crystalline CeDyTeI at its relaxed geometry.

Lattice parameters (Å, degrees): 5.4088 5.4088 5.4088 60.00 60.00 60.00
Closest atoms and distances in Å follow each position.
Fractional positions:
Ce  0.5000  0.5000  0.5000  4 Te 3.31, 4 I 3.31
Dy  0.0000  0.0000  0.0000  4 I 3.31, 4 Te 3.31
I  0.7500  0.7500  0.7500  4 Ce 3.31, 4 Dy 3.31
Te  0.2500  0.2500  0.2500  4 Ce 3.31, 4 Dy 3.31

Output
magnetic moment = 1.40 Bohr magnetons per cell
space-group type = No. 216
energy = -4.7452 eV per atom
density of states at the Fermi level = 8.5 states/eV/cell


No. 3
The following is a DFT calculation (GGA-PBE) of crystalline MnIn2Ir2 at its relaxed geometry.

Lattice parameters (Å, degrees): 6.6799 6.6799 4.0808 90.00 90.00 90.00
Closest atoms and distances in Å follow each position.
Fractional positions:
Ir  0.6377  0.1377  0.0000  2 Mn 2.59, 1 Ir 2.60, 6 In 2.74-2.90
In  0.1682  0.6682  0.5000  6 Ir 2.74-2.90
Ir  0.3623  0.8623  0.0000  2 Mn 2.59, 1 Ir 2.60, 6 In 2.74-2.90
Mn  0.5000  0.5000  0.0000  4 Ir 2.59
Ir  0.1377  0.3623  0.0000  2 Mn 2.59, 1 Ir 2.60, 6 In 2.74-2.90
Mn  0.0000  0.0000  0.0000  4 Ir 2.59
In  0.8318  0.3318  0.5000  6 Ir 2.74-2.90
In  0.6682  0.8318  0.5000  6 Ir 2.74-2.90
In  0.3318  0.1682  0.5000  6 Ir 2.74-2.90
Ir  0.8623  0.6377  0.0000  2 Mn 2.59, 1 Ir 2.60, 6 In 2.74-2.90

Output
magnetic moment = 7.62 Bohr magnetons per cell
space-group type = No. 127
E_form = -0.0330 eV per atom
density of states at the Fermi level = 4.9 states/eV/cell


Please write out number 3 again, unchanged.
The following is a DFT calculation (GGA-PBE) of crystalline MnIn2Ir2 at its relaxed geometry.

Lattice parameters (Å, degrees): 6.6799 6.6799 4.0808 90.00 90.00 90.00
Closest atoms and distances in Å follow each position.
Fractional positions:
Ir  0.6377  0.1377  0.0000  2 Mn 2.59, 1 Ir 2.60, 6 In 2.74-2.90
In  0.1682  0.6682  0.5000  6 Ir 2.74-2.90
Ir  0.3623  0.8623  0.0000  2 Mn 2.59, 1 Ir 2.60, 6 In 2.74-2.90
Mn  0.5000  0.5000  0.0000  4 Ir 2.59
Ir  0.1377  0.3623  0.0000  2 Mn 2.59, 1 Ir 2.60, 6 In 2.74-2.90
Mn  0.0000  0.0000  0.0000  4 Ir 2.59
In  0.8318  0.3318  0.5000  6 Ir 2.74-2.90
In  0.6682  0.8318  0.5000  6 Ir 2.74-2.90
In  0.3318  0.1682  0.5000  6 Ir 2.74-2.90
Ir  0.8623  0.6377  0.0000  2 Mn 2.59, 1 Ir 2.60, 6 In 2.74-2.90

Output
magnetic moment = 7.62 Bohr magnetons per cell
space-group type = No. 127
E_form = -0.0330 eV per atom
density of states at the Fermi level = 4.9 states/eV/cell